No. 1
A plane-wave DFT calculation with PBE was carried out for a relaxed Na2UTeSe4 crystal.

Output
Calculated volume: 232.5 Å³ per cell
Formation energy from raw total energies: -0.847 eV/atom
VASP energy: -4.722 eV/atom
Fermi-level density of states: 6.66 states/eV/f.u.

Cell: 7.617 4.068 7.921 Å, 90.00 108.68 90.00°
Sites, in units of the cell vectors:
Na 0.000 0.000 0.000
Na 0.500 0.500 0.500
U 0.000 0.000 0.500
Te 0.500 0.500 0.000
Se 0.092 0.500 0.297
Se 0.374 0.000 0.737
Se 0.626 0.000 0.263
Se 0.908 0.500 0.703

No. 2
A plane-wave DFT calculation with PBE was carried out for a relaxed La4Fe3 crystal.

Output
Calculated volume: 161.8 Å³ per cell
VASP energy: -6.116 eV/atom
Fermi-level density of states: 11.02 states/eV/f.u.
Excess energy over the best structure of this formula in the dataset: 0.105 eV/atom
Energy of formation: 326 meV/atom

Cell: 5.381 5.381 6.452 Å, 90.00 90.00 120.00°
Sites, in units of the cell vectors:
La 0.000 0.000 0.238
La 0.000 0.000 0.762
La 0.333 0.667 0.500
La 0.667 0.333 0.500
Fe 0.000 0.500 0.000
Fe 0.500 0.000 0.000
Fe 0.500 0.500 0.000

No. 3
A plane-wave DFT calculation with PBE was carried out for a relaxed TiVMo2 crystal.

Output
Calculated volume: 124.9 Å³ per cell
VASP energy: -9.564 eV/atom
Fermi-level density of states: 5.14 states/eV/f.u.
Excess energy over the best structure of this formula in the dataset: 0.193 eV/atom
Energy of formation: 105 meV/atom

Cell: 5.763 5.763 4.776 Å, 97.02 97.02 125.25°
Sites, in units of the cell vectors:
Ti 0.185 0.815 0.750
Ti 0.815 0.185 0.250
V 0.315 0.685 0.250
V 0.685 0.315 0.750
Mo 0.186 0.321 0.761
Mo 0.321 0.186 0.261
Mo 0.679 0.814 0.739
Mo 0.814 0.679 0.239

No. 4
A plane-wave DFT calculation with PBE was carried out for a relaxed K2AlHg crystal.

Output
Calculated volume: 148.4 Å³ per cell
VASP energy: -1.325 eV/atom
Fermi-level density of states: 2.22 states/eV/f.u.
Excess energy over the best structure of this formula in the dataset: 0.229 eV/atom
Energy of formation: 235 meV/atom

Cell: 5.423 5.423 8.997 Å, 93.46 93.46 34.20°
Sites, in units of the cell vectors:
K 0.249 0.249 0.256
K 0.751 0.751 0.744
Al 0.000 0.000 0.500
Hg 0.500 0.500 0.000

No. 5
A plane-wave DFT calculation with PBE was carried out for a relaxed Pm3In2Ge2Pt4 crystal.

Output
Calculated volume: 244.6 Å³ per cell
VASP energy: -5.761 eV/atom
Fermi-level density of states: 7.46 states/eV/f.u.
Energy of formation: -931 meV/atom

Cell: 4.500 4.500 13.945 Å, 90.00 90.00 120.00°
Sites, in units of the cell vectors:
Pm 0.000 0.000 0.000
Pm 0.000 0.000 0.264
Pm 0.000 0.000 0.736
In 0.333 0.667 0.564
In 0.667 0.333 0.436
Ge 0.333 0.667 0.145
Ge 0.667 0.333 0.855
Pt 0.333 0.667 0.362
Pt 0.333 0.667 0.874
Pt 0.667 0.333 0.126
Pt 0.667 0.333 0.638

No. 6
A plane-wave DFT calculation with PBE was carried out for a relaxed HfTlSN2 crystal.

Output
Calculated volume: 92.6 Å³ per cell
Formation energy from raw total energies: 0.091 eV/atom
VASP energy: -6.528 eV/atom
Fermi-level density of states: 4.57 states/eV/f.u.
Excess energy over the best structure of this formula in the dataset: 0.000 eV/atom

Cell: 4.153 4.153 5.368 Å, 90.00 90.00 90.00°
Sites, in units of the cell vectors:
Hf 0.000 0.000 0.000
Tl 0.500 0.500 0.500
S 0.000 0.000 0.500
N 0.000 0.500 0.000
N 0.500 0.000 0.000

No. 7
A plane-wave DFT calculation with PBE was carried out for a relaxed BPd2Br crystal.

Output
Calculated volume: 62.8 Å³ per cell
Formation energy from raw total energies: 1.013 eV/atom
VASP energy: -3.671 eV/atom
Fermi-level density of states: 0.66 states/eV/f.u.
Excess energy over the best structure of this formula in the dataset: 0.844 eV/atom

Cell: 4.463 4.463 4.463 Å, 60.00 60.00 60.00°
Sites, in units of the cell vectors:
B 0.000 0.000 0.000
Pd 0.250 0.250 0.250
Pd 0.500 0.500 0.500
Br 0.750 0.750 0.750

Question: What is the VASP energy in the fourth record?
Answer: -1.325 eV/atom

Question: calculated volume of number 7 (BPd2Br)?
Answer: 62.8 Å³ per cell